(1)
Below is a geometry-optimized Mg2AlPbO6 structure, with properties calculated at the PBE-GGA level.

a b c (Å): 5.2532 5.2537 5.5690
angles (deg): 61.85 61.85 60.00
Each line ends with the local moment (μB).
Fractional coordinates of all 10 atoms:
O 0.4009 0.6987 0.7677  0.14
O 0.6988 0.1326 0.7678  0.14
O 0.9434 0.5859 0.2399  0.17
O 0.1326 0.4010 0.7676  0.14
O 0.5860 0.2307 0.2400  0.17
O 0.2307 0.9434 0.2399  0.17
Al 0.3163 0.3162 0.0512  -0.01
Pb 0.8091 0.8092 0.5727  -0.01
Mg 0.0187 0.0186 0.9440  0.00
Mg 0.5252 0.5253 0.4245  0.00

Properties
Space-group type: R3 (146)
Spin magnetization, μB/atom: 0.108
ΔE_f (raw), kJ/mol of atoms: -187.6
Uncorrected energy, eV per atom: -5.9835

=====

(2)
Below is a geometry-optimized Pr3MgAl2O9 structure, with properties calculated at the PBE-GGA level.

a b c (Å): 5.4155 5.4155 6.6644
angles (deg): 90.00 90.00 120.00
Fractional coordinates of all 15 atoms:
O 0.0000 0.5000 0.0000
O 0.3442 0.1721 0.6746
O 0.1721 0.8279 0.3254
O 0.8279 0.1721 0.6746
O 0.8279 0.6558 0.6746
O 0.1721 0.3442 0.3254
O 0.5000 0.0000 0.0000
O 0.6558 0.8279 0.3254
O 0.5000 0.5000 0.0000
Pr 0.0000 0.0000 0.0000
Pr 0.3333 0.6667 0.6597
Pr 0.6667 0.3333 0.3403
Mg 0.0000 0.0000 0.5000
Al 0.3333 0.6667 0.1619
Al 0.6667 0.3333 0.8381

Properties
Space-group type: P-3m1 (164)
Spin magnetization, μB/atom: 0.000
ΔE_f (raw), kJ/mol of atoms: -288.3
Uncorrected energy, eV per atom: -7.5241

=====

Look up the uncorrected energy of the second one.
-7.5241 eV per atom